No. 1
## Tl5Sb (SCAN)

Data for a crystal of Tl5Sb relaxed with PBEsol.

abc: 4.9607 4.9542 7.3725
angles: 90.00 109.66 90.00
Last column: nearest neighbours and their distance in Å.
Sites, in units of the cell vectors:
Sb  0.5000  0.0000  0.0000  12 Tl 3.35-3.51
Tl  0.3373  0.5000  0.6747  2 Sb 3.35, 10 Tl 3.35-3.51
Tl  0.1624  0.0000  0.3247  10 Tl 3.35-3.51, 2 Sb 3.35
Tl  0.0000  0.5000  0.0000  8 Tl 3.35, 4 Sb 3.51
Tl  0.8376  0.0000  0.6753  10 Tl 3.35-3.51, 2 Sb 3.35
Tl  0.6627  0.5000  0.3253  2 Sb 3.35, 10 Tl 3.35-3.51

Properties
VASP energy   -66.5170 eV per atom


No. 2
## TaTcOs3 (SCAN)

Data for a crystal of TaTcOs3 relaxed with PBEsol.

abc: 4.5462 4.5462 4.5462
angles: 90.00 90.00 90.00
Last column: nearest neighbours and their distance in Å.
Sites, in units of the cell vectors:
Os  0.0000  0.5000  0.0000  2 Tc 2.27
Os  0.0000  0.0000  0.5000  2 Tc 2.27
Os  0.5000  0.0000  0.0000  2 Tc 2.27
Tc  0.0000  0.0000  0.0000  6 Os 2.27
Ta  0.5000  0.5000  0.5000  12 Os 3.21

Properties
Formation enthalpy at 0 K   209 kJ per mole of atoms


No. 3
## Mg4Re (SCAN)

Data for a crystal of Mg4Re relaxed with PBEsol.

abc: 5.3681 5.3681 5.3681
angles: 109.47 109.47 109.47
Last column: nearest neighbours and their distance in Å.
Sites, in units of the cell vectors:
Mg  0.0000  0.0000  0.5000  2 Re 2.68
Mg  0.0000  0.5000  0.0000  2 Re 2.68
Mg  0.5000  0.0000  0.0000  2 Re 2.68
Mg  0.5000  0.5000  0.5000  2 Re 2.68
Re  0.0000  0.0000  0.0000  8 Mg 2.68

Properties
Formation enthalpy at 0 K   62 kJ per mole of atoms


No. 4
## Ta3BePd (SCAN)

Data for a crystal of Ta3BePd relaxed with PBEsol.

abc: 4.3267 4.3267 4.3267
angles: 90.00 90.00 90.00
Last column: nearest neighbours and their distance in Å.
Sites, in units of the cell vectors:
Be  0.0000  0.0000  0.0000  6 Ta 2.16
Pd  0.5000  0.5000  0.5000  12 Ta 3.06
Ta  0.0000  0.5000  0.0000  2 Be 2.16
Ta  0.0000  0.0000  0.5000  2 Be 2.16
Ta  0.5000  0.0000  0.0000  2 Be 2.16

Properties
Formation enthalpy at 0 K   49 kJ per mole of atoms


No. 5
## CaTlRh3 (SCAN)

Data for a crystal of CaTlRh3 relaxed with PBEsol.

abc: 4.6756 4.6756 4.6756
angles: 90.00 90.00 90.00
Last column: nearest neighbours and their distance in Å.
Sites, in units of the cell vectors:
Tl  0.5000  0.5000  0.5000  12 Rh 3.31
Rh  0.0000  0.5000  0.0000  2 Ca 2.34
Rh  0.0000  0.0000  0.5000  2 Ca 2.34
Rh  0.5000  0.0000  0.0000  2 Ca 2.34
Ca  0.0000  0.0000  0.0000  6 Rh 2.34

Properties
Formation enthalpy at 0 K   131 kJ per mole of atoms


No. 6
## CdInGa2 (SCAN)

Data for a crystal of CdInGa2 relaxed with PBEsol.

abc: 4.9050 4.9050 4.9050
angles: 60.00 60.00 60.00
Last column: nearest neighbours and their distance in Å.
Sites, in units of the cell vectors:
Cd  0.0000  0.0000  0.0000  8 Ga 3.00
Ga  0.2500  0.2500  0.2500  4 In 3.00, 4 Cd 3.00
Ga  0.7500  0.7500  0.7500  4 Cd 3.00, 4 In 3.00
In  0.5000  0.5000  0.5000  8 Ga 3.00

Properties
Formation enthalpy at 0 K   15 kJ per mole of atoms


No. 7
## Y3HgS (SCAN)

Data for a crystal of Y3HgS relaxed with PBEsol.

abc: 5.4981 5.4981 5.4981
angles: 90.00 90.00 90.00
Last column: nearest neighbours and their distance in Å.
Sites, in units of the cell vectors:
Y  0.0000  0.5000  0.0000  2 Hg 2.75
Y  0.0000  0.0000  0.5000  2 Hg 2.75
Y  0.5000  0.0000  0.0000  2 Hg 2.75
S  0.5000  0.5000  0.5000  12 Y 3.89
Hg  0.0000  0.0000  0.0000  6 Y 2.75

Properties
VASP energy   -32.3220 eV per atom


No. 8
## CaTl2WC (SCAN)

Data for a crystal of CaTl2WC relaxed with PBEsol.

abc: 4.0653 5.6296 5.6296
angles: 90.00 90.00 90.00
Last column: nearest neighbours and their distance in Å.
Sites, in units of the cell vectors:
C  0.5000  0.0000  0.0000  2 Ca 2.03
Tl  0.0000  0.0000  0.5000  2 Ca 2.81
Tl  0.0000  0.5000  0.0000  2 Ca 2.81
Ca  0.0000  0.0000  0.0000  2 C 2.03
W  0.5000  0.5000  0.5000  8 Tl 3.47

Properties
Formation enthalpy at 0 K   235 kJ per mole of atoms


No. 9
## La5Al15Cu2Au3 (SCAN)

Data for a crystal of La5Al15Cu2Au3 relaxed with PBEsol.

abc: 4.3186 4.3186 26.8975
angles: 94.60 94.60 89.95
Last column: nearest neighbours and their distance in Å.
Sites, in units of the cell vectors:
Au  0.2771  0.2771  0.5528  5 Al 2.49-2.54
Au  0.6755  0.6755  0.3493  5 Al 2.48-2.54
Au  0.0736  0.0736  0.1459  5 Al 2.48-2.54
Al  0.9195  0.9195  0.8399  1 Cu 2.39
Al  0.3224  0.3224  0.6460  1 Au 2.49, 4 Al 2.70
Al  0.7209  0.7209  0.4423  1 Au 2.48, 4 Al 2.70
Al  0.1191  0.1191  0.2388  1 Au 2.48, 4 Al 2.70
Al  0.5168  0.5169  0.0344  1 Cu 2.39
Al  0.9523  0.4503  0.9019  2 Cu 2.45, 2 Al 2.72
Al  0.3533  0.8528  0.7069  2 Cu 2.45, 2 Al 2.70
Al  0.7521  0.2510  0.5028  2 Au 2.54, 2 Al 2.70
Al  0.1506  0.6491  0.2992  2 Au 2.54, 2 Al 2.70
Al  0.5487  0.0473  0.0960  2 Au 2.54, 2 Al 2.71
Al  0.4503  0.9523  0.9019  2 Cu 2.45, 2 Al 2.72
Al  0.8528  0.3533  0.7069  2 Cu 2.45, 2 Al 2.70
Al  0.2510  0.7521  0.5028  2 Au 2.54, 2 Al 2.70
Al  0.6491  0.1506  0.2992  2 Au 2.54, 2 Al 2.70
Al  0.0473  0.5487  0.0960  2 Au 2.54, 2 Al 2.71
Cu  0.4741  0.4741  0.9452  5 Al 2.39-2.45
Cu  0.8749  0.8749  0.7504  5 Al 2.39-2.45
La  0.9994  0.9994  0.9997  12 Al 3.19-3.39, 4 Cu 3.37-3.39
La  0.4019  0.4019  0.8048  12 Al 3.19-3.39, 4 Cu 3.38
La  0.8038  0.8038  0.6083  12 Al 3.21-3.55, 4 Au 3.39-3.40
La  0.2022  0.2022  0.4050  12 Al 3.21-3.56, 4 Au 3.39-3.40
La  0.6004  0.6004  0.2017  12 Al 3.21-3.56, 4 Au 3.39-3.40

Properties
Formation enthalpy at 0 K   -70 kJ per mole of atoms


No. 10
## Mn2HgRh (SCAN)

Data for a crystal of Mn2HgRh relaxed with PBEsol.

abc: 4.3990 4.3990 4.3990
angles: 60.00 60.00 60.00
Last column: nearest neighbours and their distance in Å.
Sites, in units of the cell vectors:
Hg  0.5000  0.5000  0.5000  4 Rh 2.69, 4 Mn 2.69
Mn  0.0000  0.0000  0.0000  4 Mn 2.69, 4 Rh 2.69
Mn  0.7500  0.7500  0.7500  4 Mn 2.69, 4 Hg 2.69
Rh  0.2500  0.2500  0.2500  4 Hg 2.69, 4 Mn 2.69

Properties
Formation enthalpy at 0 K   -14 kJ per mole of atoms


No. 11
## YSiSe2 (SCAN)

Data for a crystal of YSiSe2 relaxed with PBEsol.

abc: 4.8554 4.8554 4.8554
angles: 93.18 118.18 118.18
Last column: nearest neighbours and their distance in Å.
Sites, in units of the cell vectors:
Se  0.5000  0.7500  0.2500  4 Si 3.00, 4 Y 3.00, 2 Se 3.34
Se  0.5000  0.2500  0.7500  4 Si 3.00, 4 Y 3.00, 2 Se 3.34
Si  0.0000  0.0000  0.0000  8 Se 3.00, 2 Y 3.34
Y  0.0000  0.5000  0.5000  8 Se 3.00, 2 Si 3.34

Properties
VASP energy   -20.1048 eV per atom


No. 12
## LaNb3Ir (SCAN)

Data for a crystal of LaNb3Ir relaxed with PBEsol.

abc: 4.7377 4.7377 4.7377
angles: 90.00 90.00 90.00
Last column: nearest neighbours and their distance in Å.
Sites, in units of the cell vectors:
Nb  0.0000  0.5000  0.0000  2 La 2.37
Nb  0.0000  0.0000  0.5000  2 La 2.37
Nb  0.5000  0.0000  0.0000  2 La 2.37
Ir  0.5000  0.5000  0.5000  12 Nb 3.35
La  0.0000  0.0000  0.0000  6 Nb 2.37

Properties
Formation enthalpy at 0 K   204 kJ per mole of atoms